Entry 1:
DFT (GGA-PBE) results for crystalline Tb3Ce2PmS6 at its relaxed geometry.

Cell lengths 6.867, 6.867, 6.930 Å; angles 99.53, 99.53, 120.05 degrees
Fractional positions:
Tb 0.000 0.000 0.000
Tb 0.335 0.665 0.000
Tb 0.665 0.335 0.000
Ce 0.166 0.834 0.500
Ce 0.834 0.166 0.500
Pm 0.500 0.500 0.500
S 0.079 0.413 0.240
S 0.252 0.252 0.758
S 0.413 0.079 0.240
S 0.587 0.921 0.760
S 0.748 0.748 0.242
S 0.921 0.587 0.760

Space group: C2/m
Magnetic moment in μB/f.u.: 1.5
E_form (uncorrected) in eV per atom: -2.04

Entry 2:
DFT (GGA-PBE) results for crystalline PrHfAl at its relaxed geometry.

Cell lengths 7.379, 7.379, 7.379 Å; angles 154.87, 154.87, 35.84 degrees
Fractional positions:
Pr 0.000 0.000 0.000
Hf 0.698 0.698 0.000
Al 0.331 0.331 0.000

Offset from the most stable computed form in meV per atom: 0
Space group: I4mm
Magnetic moment in μB/f.u.: 0.0
DFT formation energy in eV/atom: -0.078

Entry 3:
DFT (GGA-PBE) results for crystalline KCd4AgPt2 at its relaxed geometry.

Cell lengths 10.509, 10.509, 10.509 Å; angles 25.54, 25.54, 25.54 degrees
Fractional positions:
K 0.000 0.000 0.000
Cd 0.132 0.132 0.132
Cd 0.407 0.407 0.407
Cd 0.593 0.593 0.593
Cd 0.868 0.868 0.868
Ag 0.500 0.500 0.500
Pt 0.230 0.230 0.230
Pt 0.770 0.770 0.770

Space group: R-3m
Magnetic moment in μB/f.u.: 0.0
DFT formation energy in eV/atom: -0.145

Entry 4:
DFT (GGA-PBE) results for crystalline ErPuZnSb at its relaxed geometry.

Cell lengths 5.183, 5.183, 5.183 Å; angles 60.00, 60.00, 60.00 degrees
Fractional positions:
Er 0.000 0.000 0.000
Pu 0.500 0.500 0.500
Zn 0.750 0.750 0.750
Sb 0.250 0.250 0.250

Space group: F-43m
Magnetic moment in μB/f.u.: 6.4
E_form (uncorrected) in eV per atom: -0.39

Entry 5:
DFT (GGA-PBE) results for crystalline SrTaAg at its relaxed geometry.

Cell lengths 4.966, 4.966, 4.966 Å; angles 60.00, 60.00, 60.00 degrees
Fractional positions:
Sr 0.000 0.000 0.000
Ta 0.500 0.500 0.500
Ag 0.250 0.250 0.250

Offset from the most stable computed form in meV per atom: 962
Space group: F-43m
Magnetic moment in μB/f.u.: 2.6
DFT formation energy in eV/atom: 1.192

Entry 6:
DFT (GGA-PBE) results for crystalline CrPN3 at its relaxed geometry.

Cell lengths 3.457, 3.457, 3.457 Å; angles 90.00, 90.00, 90.00 degrees
Fractional positions:
Cr 0.000 0.000 0.000
P 0.500 0.500 0.500
N 0.000 0.500 0.500
N 0.500 0.000 0.500
N 0.500 0.500 0.000

Space group: Pm-3m
Magnetic moment in μB/f.u.: 2.2
E_form (uncorrected) in eV per atom: 0.69

Entry 7:
DFT (GGA-PBE) results for crystalline Ho5TcTe2 at its relaxed geometry.

Cell lengths 8.375, 8.375, 13.417 Å; angles 90.00, 90.00, 141.04 degrees
Fractional positions:
Ho 0.052 0.948 0.608
Ho 0.052 0.948 0.892
Ho 0.276 0.724 0.601
Ho 0.276 0.724 0.899
Ho 0.316 0.684 0.250
Ho 0.684 0.316 0.750
Ho 0.724 0.276 0.101
Ho 0.724 0.276 0.399
Ho 0.948 0.052 0.108
Ho 0.948 0.052 0.392
Tc 0.160 0.840 0.750
Tc 0.840 0.160 0.250
Te 0.155 0.845 0.093
Te 0.155 0.845 0.407
Te 0.845 0.155 0.593
Te 0.845 0.155 0.907

Space group: Cmcm
Magnetic moment in μB/f.u.: 0.0
E_form (uncorrected) in eV per atom: -0.30

Entry 8:
DFT (GGA-PBE) results for crystalline PmNd2DyY6 at its relaxed geometry.

Cell lengths 8.815, 8.815, 9.829 Å; angles 94.99, 94.99, 117.66 degrees
Fractional positions:
Pm 0.018 0.982 0.750
Pm 0.982 0.018 0.250
Nd 0.194 0.292 0.544
Nd 0.292 0.194 0.044
Nd 0.708 0.806 0.956
Nd 0.806 0.708 0.456
Dy 0.407 0.593 0.250
Dy 0.593 0.407 0.750
Y 0.019 0.573 0.685
Y 0.121 0.742 0.057
Y 0.258 0.879 0.443
Y 0.297 0.507 0.882
Y 0.427 0.981 0.815
Y 0.493 0.703 0.618
Y 0.507 0.297 0.382
Y 0.573 0.019 0.185
Y 0.703 0.493 0.118
Y 0.742 0.121 0.557
Y 0.879 0.258 0.943
Y 0.981 0.427 0.315

Space group: C2/c
Magnetic moment in μB/f.u.: 0.0
DFT formation energy in eV/atom: 0.112

Entry 9:
DFT (GGA-PBE) results for crystalline TmScZnPd at its relaxed geometry.

Cell lengths 3.420, 3.420, 6.761 Å; angles 90.00, 90.00, 90.00 degrees
Fractional positions:
Tm 0.000 0.000 0.000
Sc 0.000 0.000 0.495
Zn 0.500 0.500 0.726
Pd 0.500 0.500 0.263

Offset from the most stable computed form in meV per atom: 0
Space group: P4mm
Magnetic moment in μB/f.u.: 0.0
DFT formation energy in eV/atom: -0.646

Entry 10:
DFT (GGA-PBE) results for crystalline CeHgOs at its relaxed geometry.

Cell lengths 5.702, 5.702, 7.864 Å; angles 107.81, 107.81, 32.93 degrees
Fractional positions:
Ce 0.163 0.163 0.124
Ce 0.837 0.837 0.876
Hg 0.377 0.377 0.528
Hg 0.623 0.623 0.472
Os 0.094 0.094 0.794
Os 0.906 0.906 0.206

Space group: C2/m
Magnetic moment in μB/f.u.: 0.0
DFT formation energy in eV/atom: 0.201

Entry 11:
DFT (GGA-PBE) results for crystalline PrDyYTm2 at its relaxed geometry.

Cell lengths 7.104, 7.104, 7.208 Å; angles 90.00, 90.00, 107.79 degrees
Fractional positions:
Pr 0.228 0.772 0.750
Pr 0.772 0.228 0.250
Dy 0.219 0.781 0.250
Dy 0.781 0.219 0.750
Y 0.498 0.502 0.250
Y 0.502 0.498 0.750
Tm 0.188 0.188 0.000
Tm 0.188 0.188 0.500
Tm 0.812 0.812 0.000
Tm 0.812 0.812 0.500

Space group: Cmcm
Magnetic moment in μB/f.u.: 0.0
DFT formation energy in eV/atom: 0.379

Entry 12:
DFT (GGA-PBE) results for crystalline Na2NbN at its relaxed geometry.

Cell lengths 7.308, 7.308, 7.308 Å; angles 94.41, 94.41, 147.81 degrees
Fractional positions:
Na 0.375 0.028 0.153
Na 0.778 0.625 0.653
Na 0.875 0.222 0.847
Na 0.972 0.125 0.347
Nb 0.250 0.750 0.500
Nb 0.500 0.500 0.000
N 0.000 0.000 0.000
N 0.750 0.250 0.500

Space group: I-42d
Magnetic moment in μB/f.u.: 2.0
E_form (uncorrected) in eV per atom: 0.37

Entry 13:
DFT (GGA-PBE) results for crystalline Dy7Tl3 at its relaxed geometry.

Cell lengths 10.604, 10.604, 6.236 Å; angles 90.00, 90.00, 120.00 degrees
Fractional positions:
Dy 0.057 0.528 0.000
Dy 0.122 0.244 0.245
Dy 0.122 0.878 0.245
Dy 0.244 0.122 0.745
Dy 0.333 0.667 0.430
Dy 0.472 0.528 0.000
Dy 0.472 0.943 0.000
Dy 0.528 0.057 0.500
Dy 0.528 0.472 0.500
Dy 0.667 0.333 0.930
Dy 0.756 0.878 0.245
Dy 0.878 0.122 0.745
Dy 0.878 0.756 0.745
Dy 0.943 0.472 0.500
Tl 0.193 0.386 0.709
Tl 0.193 0.807 0.709
Tl 0.386 0.193 0.209
Tl 0.614 0.807 0.709
Tl 0.807 0.193 0.209
Tl 0.807 0.614 0.209

Space group: P6_3mc
Magnetic moment in μB/f.u.: 0.0
DFT formation energy in eV/atom: -0.176

Entry 14:
DFT (GGA-PBE) results for crystalline ScPtW at its relaxed geometry.

Cell lengths 2.960, 2.960, 6.879 Å; angles 90.00, 90.00, 120.00 degrees
Fractional positions:
Sc 0.000 0.000 0.000
Pt 0.333 0.667 0.666
W 0.667 0.333 0.345

Offset from the most stable computed form in meV per atom: 267
Space group: P3m1
Magnetic moment in μB/f.u.: 0.0
DFT formation energy in eV/atom: -0.073

Entry 15:
DFT (GGA-PBE) results for crystalline LiHfRu2 at its relaxed geometry.

Cell lengths 5.505, 5.505, 5.505 Å; angles 103.51, 103.51, 122.20 degrees
Fractional positions:
Li 0.000 0.000 0.000
Li 0.750 0.250 0.500
Hf 0.250 0.750 0.500
Hf 0.500 0.500 0.000
Ru 0.092 0.125 0.467
Ru 0.375 0.908 0.033
Ru 0.658 0.625 0.533
Ru 0.875 0.342 0.967

Space group: I-42d
Magnetic moment in μB/f.u.: 0.0
DFT formation energy in eV/atom: 0.289

Entry 16:
DFT (GGA-PBE) results for crystalline CdBP2 at its relaxed geometry.

Cell lengths 4.454, 4.454, 4.454 Å; angles 60.00, 60.00, 60.00 degrees
Fractional positions:
Cd 0.000 0.000 0.000
B 0.500 0.500 0.500
P 0.250 0.250 0.250
P 0.750 0.750 0.750

Offset from the most stable computed form in meV per atom: 1220
Space group: Fm-3m
Magnetic moment in μB/f.u.: 0.0
DFT formation energy in eV/atom: 1.303

Entry 17:
DFT (GGA-PBE) results for crystalline Pm5MgAg3 at its relaxed geometry.

Cell lengths 9.183, 9.183, 6.839 Å; angles 90.00, 90.00, 60.05 degrees
Fractional positions:
Pm 0.167 0.167 0.000
Pm 0.167 0.167 0.500
Pm 0.186 0.500 0.250
Pm 0.186 0.814 0.750
Pm 0.500 0.186 0.750
Pm 0.500 0.814 0.250
Pm 0.814 0.186 0.250
Pm 0.814 0.500 0.750
Pm 0.833 0.833 0.000
Pm 0.833 0.833 0.500
Mg 0.500 0.500 0.000
Mg 0.500 0.500 0.500
Ag 0.150 0.500 0.750
Ag 0.150 0.850 0.250
Ag 0.500 0.150 0.250
Ag 0.500 0.850 0.750
Ag 0.850 0.150 0.750
Ag 0.850 0.500 0.250

Space group: Cmcm
Magnetic moment in μB/f.u.: 0.0
DFT formation energy in eV/atom: -0.095

Entry 18:
DFT (GGA-PBE) results for crystalline Cd3Pt at its relaxed geometry.

Cell lengths 3.071, 4.783, 5.233 Å; angles 90.00, 90.00, 90.00 degrees
Fractional positions:
Cd 0.000 0.000 0.000
Cd 0.000 0.500 0.342
Cd 0.500 0.000 0.518
Pt 0.500 0.500 0.843

Space group: Pmm2
Magnetic moment in μB/f.u.: 0.0
DFT formation energy in eV/atom: -0.150

Entry 19:
DFT (GGA-PBE) results for crystalline Ac2NbPd at its relaxed geometry.

Cell lengths 10.855, 10.855, 10.855 Å; angles 19.06, 19.06, 19.06 degrees
Fractional positions:
Ac 0.096 0.096 0.096
Ac 0.904 0.904 0.904
Nb 0.000 0.000 0.000
Pd 0.500 0.500 0.500

Space group: R-3m
Magnetic moment in μB/f.u.: 0.7
DFT formation energy in eV/atom: 0.608

Entry 20:
DFT (GGA-PBE) results for crystalline Pm2SmBi at its relaxed geometry.

Cell lengths 4.225, 4.225, 7.187 Å; angles 90.00, 90.00, 90.00 degrees
Fractional positions:
Pm 0.000 0.000 0.228
Pm 0.000 0.000 0.772
Sm 0.500 0.500 0.500
Bi 0.500 0.500 0.000

Offset from the most stable computed form in meV per atom: 71
Space group: P4/mmm
Magnetic moment in μB/f.u.: 0.0
DFT formation energy in eV/atom: -0.369